# CaRuRh2

A relaxed structure of CaRuRh2 (GGA-PBE, Alexandria).

a = 2.8022 Å, b = 3.9690 Å, c = 6.1333 Å
α = 90.00°, β = 90.00°, γ = 90.00°
Last column: nearest neighbours and their distance in Å.
Fractional positions:
Ca  0.0000  0.0000  0.0000  2 Ca 2.80, 6 Rh 2.94-3.14, 4 Ru 3.12
Ru  0.5000  0.5000  0.6808  5 Rh 2.53-2.64, 2 Ru 2.80
Rh  0.0000  0.0000  0.5116  4 Ru 2.64, 6 Rh 2.80-2.85
Rh  0.5000  0.5000  0.2688  1 Ru 2.53, 2 Rh 2.80

## Properties
E above lowest polymorph, eV per formula unit: 0.48


# Ca2RuRh

A relaxed structure of Ca2RuRh (GGA-PBE, Alexandria).

a = 6.1800 Å, b = 6.1800 Å, c = 6.1800 Å
α = 102.68°, β = 102.68°, γ = 124.12°
Last column: nearest neighbours and their distance in Å.
Fractional positions:
Ca  0.1113  0.1250  0.4863  2 Rh 2.75, 2 Ru 2.90, 2 Ca 2.90
Ca  0.3750  0.8887  0.0137  2 Rh 2.75, 2 Ru 2.90, 2 Ca 2.90
Ca  0.6387  0.6250  0.5137  2 Rh 2.75, 2 Ru 2.90, 2 Ca 2.90
Ca  0.8750  0.3613  0.9863  2 Rh 2.75, 2 Ru 2.90, 2 Ca 2.90
Ru  0.2500  0.7500  0.5000  2 Rh 2.90, 4 Ca 2.90
Ru  0.5000  0.5000  0.0000  2 Rh 2.90, 4 Ca 2.90
Rh  0.0000  0.0000  0.0000  4 Ca 2.75, 2 Ru 2.90
Rh  0.7500  0.2500  0.5000  4 Ca 2.75, 2 Ru 2.90

## Properties
Total DFT energy (no corrections), eV/atom: -4.69


# CaRu2Rh2

A relaxed structure of CaRu2Rh2 (GGA-PBE, Alexandria).

a = 7.6805 Å, b = 7.6805 Å, c = 2.7764 Å
α = 90.00°, β = 90.00°, γ = 90.00°
Last column: nearest neighbours and their distance in Å.
Fractional positions:
Ca  0.0000  0.0000  0.0000  2 Ca 2.78, 4 Ru 3.08
Ca  0.5000  0.5000  0.0000  2 Ca 2.78, 4 Ru 3.08
Ru  0.1160  0.3840  0.0000  3 Ru 2.52-2.78, 6 Rh 2.62-2.70
Ru  0.3840  0.8840  0.0000  3 Ru 2.52-2.78, 6 Rh 2.62-2.70
Ru  0.6160  0.1160  0.0000  3 Ru 2.52-2.78, 6 Rh 2.62-2.70
Ru  0.8840  0.6160  0.0000  3 Ru 2.52-2.78, 6 Rh 2.62-2.70
Rh  0.1789  0.6789  0.5000  6 Ru 2.62-2.70, 2 Rh 2.78
Rh  0.3211  0.1789  0.5000  6 Ru 2.62-2.70, 2 Rh 2.78
Rh  0.6789  0.8211  0.5000  6 Ru 2.62-2.70, 2 Rh 2.78
Rh  0.8211  0.3211  0.5000  6 Ru 2.62-2.70, 2 Rh 2.78

## Properties
E above lowest polymorph, eV per formula unit: 0.00


# Ca2RuRh

A relaxed structure of Ca2RuRh (GGA-PBE, Alexandria).

a = 4.9036 Å, b = 4.9036 Å, c = 3.3382 Å
α = 90.00°, β = 90.00°, γ = 90.00°
Last column: nearest neighbours and their distance in Å.
Fractional positions:
Ca  0.0000  0.5000  0.0000  4 Ru 2.97, 4 Rh 2.97
Ca  0.5000  0.0000  0.0000  4 Ru 2.97, 4 Rh 2.97
Ru  0.0000  0.0000  0.5000  8 Ca 2.97
Rh  0.5000  0.5000  0.5000  8 Ca 2.97

## Properties
Total DFT energy (no corrections), eV/atom: -5.00


# CaRuRh2

A relaxed structure of CaRuRh2 (GGA-PBE, Alexandria).

a = 2.8434 Å, b = 4.4714 Å, c = 5.3006 Å
α = 90.00°, β = 101.96°, γ = 90.00°
Last column: nearest neighbours and their distance in Å.
Fractional positions:
Ca  0.0000  0.0000  0.0000  7 Rh 2.65-2.95, 2 Ca 2.84
Ru  0.2603  0.5000  0.6374  7 Rh 2.67-2.91, 2 Ru 2.84
Rh  0.5759  0.5000  0.1964  3 Ru 2.67-2.91, 4 Rh 2.72-2.84, 4 Ca 2.84
Rh  0.6766  0.0000  0.4938  3 Ca 2.65-2.95, 4 Ru 2.71-2.79, 4 Rh 2.72-2.84

## Properties
E above lowest polymorph, eV per formula unit: 0.19


# CaRu2Rh

A relaxed structure of CaRu2Rh (GGA-PBE, Alexandria).

a = 5.4828 Å, b = 5.4828 Å, c = 2.7700 Å
α = 101.91°, β = 101.91°, γ = 121.02°
Last column: nearest neighbours and their distance in Å.
Fractional positions:
Ca  0.0000  0.0000  0.0000  4 Rh 2.70-2.95, 2 Ca 2.77, 4 Ru 2.80
Ru  0.0000  0.5000  0.5000  6 Ru 2.70-2.95, 2 Ca 2.80, 2 Rh 2.80
Ru  0.5000  0.0000  0.5000  6 Ru 2.70-2.95, 2 Rh 2.80, 2 Ca 2.80
Rh  0.5000  0.5000  0.0000  4 Ca 2.70-2.95, 2 Rh 2.77, 4 Ru 2.80

## Properties
E above lowest polymorph, eV per formula unit: 0.83


# CaRu2Rh

A relaxed structure of CaRu2Rh (GGA-PBE, Alexandria).

a = 2.8007 Å, b = 2.8007 Å, c = 8.4095 Å
α = 90.00°, β = 90.00°, γ = 90.00°
Last column: nearest neighbours and their distance in Å.
Fractional positions:
Ca  0.0000  0.0000  0.0000  4 Ca 2.80, 8 Ru 3.10
Ru  0.5000  0.5000  0.2841  4 Rh 2.69, 4 Ru 2.80
Ru  0.5000  0.5000  0.7159  4 Rh 2.69, 4 Ru 2.80
Rh  0.0000  0.0000  0.5000  8 Ru 2.69, 4 Rh 2.80

## Properties
E above lowest polymorph, eV per formula unit: 0.69


# CaRuRh2

A relaxed structure of CaRuRh2 (GGA-PBE, Alexandria).

a = 5.3787 Å, b = 5.3787 Å, c = 4.9143 Å
α = 115.23°, β = 115.23°, γ = 30.21°
Last column: nearest neighbours and their distance in Å.
Fractional positions:
Ca  0.0000  0.0000  0.0000  7 Rh 2.75-2.89, 2 Ca 2.80, 3 Ru 2.82-2.97
Ru  0.2344  0.2344  0.5813  7 Rh 2.71-2.91, 2 Ru 2.80, 3 Ca 2.82-2.97
Rh  0.4980  0.4980  0.5116  3 Ru 2.71-2.91, 4 Ca 2.77-2.89, 5 Rh 2.78-2.98
Rh  0.7602  0.7602  0.1032  3 Ca 2.75-2.88, 5 Rh 2.78-2.98, 4 Ru 2.83-2.85

## Properties
E above lowest polymorph, eV per formula unit: 0.10


# CaRuRh2

A relaxed structure of CaRuRh2 (GGA-PBE, Alexandria).

a = 4.1169 Å, b = 4.1169 Å, c = 3.8589 Å
α = 90.00°, β = 90.00°, γ = 90.00°
Last column: nearest neighbours and their distance in Å.
Fractional positions:
Ca  0.0000  0.0000  0.0000  8 Rh 2.82, 4 Ru 2.91
Ru  0.5000  0.5000  0.0000  8 Rh 2.82, 4 Ca 2.91
Rh  0.0000  0.5000  0.5000  4 Ca 2.82, 4 Ru 2.82, 4 Rh 2.91
Rh  0.5000  0.0000  0.5000  4 Ca 2.82, 4 Ru 2.82, 4 Rh 2.91

## Properties
E above lowest polymorph, eV per formula unit: 0.61


# CaRuRh4

A relaxed structure of CaRuRh4 (GGA-PBE, Alexandria).

a = 5.2099 Å, b = 5.2099 Å, c = 5.2099 Å
α = 60.00°, β = 60.00°, γ = 60.00°
Last column: nearest neighbours and their distance in Å.
Fractional positions:
Ca  0.0000  0.0000  0.0000  12 Rh 3.06, 4 Ru 3.19
Ru  0.2500  0.2500  0.2500  12 Rh 3.05, 4 Ca 3.19
Rh  0.1261  0.6246  0.6246  6 Rh 2.60-2.61
Rh  0.6246  0.1261  0.6246  6 Rh 2.60-2.61
Rh  0.6246  0.6246  0.1261  6 Rh 2.60-2.61
Rh  0.6246  0.6246  0.6246  6 Rh 2.60-2.61

## Properties
Total DFT energy (no corrections), eV/atom: -6.63


# Ca2RuRh

A relaxed structure of Ca2RuRh (GGA-PBE, Alexandria).

a = 3.4212 Å, b = 3.4212 Å, c = 8.3148 Å
α = 90.00°, β = 90.00°, γ = 90.00°
Last column: nearest neighbours and their distance in Å.
Fractional positions:
Ca  0.0000  0.0000  0.0000  1 Rh 2.97, 4 Ru 3.13
Ca  0.5000  0.5000  0.4097  1 Ru 2.92, 4 Rh 3.10
Ru  0.5000  0.5000  0.7613  4 Rh 2.61
Rh  0.0000  0.0000  0.6433  4 Ru 2.61

## Properties
Total DFT energy (no corrections), eV/atom: -5.03


# CaRu3Rh

A relaxed structure of CaRu3Rh (GGA-PBE, Alexandria).

a = 4.5387 Å, b = 4.5387 Å, c = 4.5387 Å
α = 90.00°, β = 90.00°, γ = 90.00°
Last column: nearest neighbours and their distance in Å.
Fractional positions:
Ca  0.0000  0.0000  0.0000  6 Ru 2.27
Ru  0.0000  0.0000  0.5000  2 Ca 2.27
Ru  0.0000  0.5000  0.0000  2 Ca 2.27
Ru  0.5000  0.0000  0.0000  2 Ca 2.27
Rh  0.5000  0.5000  0.5000  12 Ru 3.21

## Properties
E above lowest polymorph, eV per formula unit: 6.14